No. 1
VASP calculation (PBE-GGA) on a relaxed structure of Pm2NdTl2Ag2.

Lattice parameters (Å, degrees): 4.9569 4.9569 27.4054 90.00 90.00 120.00
Space group R-3m (No. 166, hexagonal axes)
One atom of each set of equivalent atoms:
1 Pm 0.0000 0.0000 0.1251 [6 per cell]
2 Nd 0.0000 0.0000 0.0000 [3 per cell]
3 Tl 0.0000 0.0000 0.2603 [6 per cell]
4 Ag 0.0000 0.0000 0.3981 [6 per cell]

Computed properties:
ΔE_f = -0.205 eV per atom

No. 2
VASP calculation (PBE-GGA) on a relaxed structure of Ca2SeCl.

Lattice parameters (Å, degrees): 4.1037 4.1037 22.3372 90.00 90.00 120.00
Space group R3m (No. 160, hexagonal axes)
One atom of each set of equivalent atoms:
1 Ca 0.0000 0.0000 0.0000 [3 per cell]
2 Ca 0.0000 0.0000 0.1841 [3 per cell]
3 Se 0.0000 0.0000 0.5886 [3 per cell]
4 Cl 0.0000 0.0000 0.7706 [3 per cell]

Computed properties:
relative energy among the computed polymorphs = 0.032 eV/atom

No. 3
VASP calculation (PBE-GGA) on a relaxed structure of ScNbRuCl2.

Lattice parameters (Å, degrees): 4.703 4.703 5.017 90.00 90.00 90.00
Space group P4/mmm (No. 123)
One atom of each set of equivalent atoms:
1 Sc 0.000 0.000 0.000 [1 per cell]
2 Nb 0.500 0.500 0.500 [1 per cell]
3 Ru 0.500 0.500 0.000 [1 per cell]
4 Cl 0.000 0.500 0.500 [2 per cell]

Computed properties:
raw total energy = -5.67 eV/atom

No. 4
VASP calculation (PBE-GGA) on a relaxed structure of LaMnRh2.

Lattice parameters (Å, degrees): 3.212 4.050 5.849 90.00 90.00 90.00
Space group Pmm2 (No. 25)
One atom of each set of equivalent atoms:
1 La 0.000 0.000 0.000 [1 per cell]
2 Mn 0.500 0.500 0.364 [1 per cell]
3 Rh 0.000 0.000 0.491 [1 per cell]
4 Rh 0.500 0.500 0.790 [1 per cell]

Computed properties:
ΔE_f = -0.100 eV per atom

No. 5
VASP calculation (PBE-GGA) on a relaxed structure of KLi2PrBi2.

Lattice parameters (Å, degrees): 4.8667 4.8667 9.0228 90.00 90.00 120.00
Space group P-3m1 (No. 164)
One atom of each set of equivalent atoms:
1 K 0.0000 0.0000 0.0000 [1 per cell]
2 Li 0.3333 0.6667 0.7249 [2 per cell]
3 Pr 0.0000 0.0000 0.5000 [1 per cell]
4 Bi 0.3333 0.6667 0.2909 [2 per cell]

Computed properties:
ΔE_f = -0.650 eV per atom

No. 6
VASP calculation (PBE-GGA) on a relaxed structure of CaAsP2.

Lattice parameters (Å, degrees): 6.819 6.819 6.819 90.00 90.00 90.00
Space group F-43m (No. 216)
One atom of each set of equivalent atoms:
1 Ca 0.000 0.000 0.000 [4 per cell]
2 As 0.250 0.250 0.750 [4 per cell]
3 P 0.000 0.000 0.500 [4 per cell]
4 P 0.250 0.250 0.250 [4 per cell]

Computed properties:
ΔE_f = 0.134 eV per atom

No. 7
VASP calculation (PBE-GGA) on a relaxed structure of Ac3Zn4Ga2.

Lattice parameters (Å, degrees): 11.525 4.655 9.047 90.00 106.83 90.00
Space group C2/m (No. 12)
One atom of each set of equivalent atoms:
1 Ac 0.000 0.000 0.000 [2 per cell]
2 Ac 0.168 0.500 0.668 [4 per cell]
3 Zn 0.058 0.000 0.393 [4 per cell]
4 Zn 0.219 0.500 0.052 [4 per cell]
5 Ga 0.110 0.500 0.278 [4 per cell]

Computed properties:
ΔE_f = -0.397 eV per atom

No. 8
VASP calculation (PBE-GGA) on a relaxed structure of CsTePbN2.

Lattice parameters (Å, degrees): 5.056 5.056 6.041 90.00 90.00 90.00
Space group P4/mmm (No. 123)
One atom of each set of equivalent atoms:
1 Cs 0.000 0.000 0.000 [1 per cell]
2 Te 0.500 0.500 0.000 [1 per cell]
3 Pb 0.500 0.500 0.500 [1 per cell]
4 N 0.000 0.500 0.500 [2 per cell]

Computed properties:
relative energy among the computed polymorphs = 0.000 eV/atom

No. 9
VASP calculation (PBE-GGA) on a relaxed structure of LiTh2Mg.

Lattice parameters (Å, degrees): 3.741 3.741 7.674 90.00 90.00 90.00
Space group P4/mmm (No. 123)
One atom of each set of equivalent atoms:
1 Li 0.000 0.000 0.000 [1 per cell]
2 Th 0.500 0.500 0.240 [2 per cell]
3 Mg 0.000 0.000 0.500 [1 per cell]

Computed properties:
relative energy among the computed polymorphs = 0.000 eV/atom
ΔE_f = 0.188 eV per atom

No. 10
VASP calculation (PBE-GGA) on a relaxed structure of Ce3AgSn3.

Lattice parameters (Å, degrees): 11.606 4.713 15.172 90.00 109.04 90.00
Space group C2/m (No. 12)
One atom of each set of equivalent atoms:
1 Ce 0.034 0.000 0.383 [4 per cell]
2 Ce 0.096 0.000 0.921 [4 per cell]
3 Ce 0.238 0.000 0.225 [4 per cell]
4 Ag 0.237 0.500 0.392 [4 per cell]
5 Sn 0.023 0.500 0.233 [4 per cell]
6 Sn 0.127 0.500 0.074 [4 per cell]
7 Sn 0.134 0.500 0.549 [4 per cell]

Computed properties:
ΔE_f = -0.526 eV per atom

No. 11
VASP calculation (PBE-GGA) on a relaxed structure of CaYAlPb2.

Lattice parameters (Å, degrees): 5.800 5.800 5.538 90.00 90.00 90.00
Space group P4/mmm (No. 123)
One atom of each set of equivalent atoms:
1 Ca 0.000 0.000 0.000 [1 per cell]
2 Y 0.500 0.500 0.500 [1 per cell]
3 Al 0.500 0.500 0.000 [1 per cell]
4 Pb 0.000 0.500 0.500 [2 per cell]

Computed properties:
ΔE_f = 0.271 eV per atom

No. 12
VASP calculation (PBE-GGA) on a relaxed structure of Ce2Np2Pt15.

Lattice parameters (Å, degrees): 9.3094 9.3094 13.8824 90.00 90.00 120.00
Space group R-3m (No. 166, hexagonal axes)
One atom of each set of equivalent atoms:
1 Ce 0.0000 0.0000 0.1472 [6 per cell]
2 Np 0.0000 0.0000 0.4171 [6 per cell]
3 Pt 0.0000 0.3218 0.5000 [18 per cell]
4 Pt 0.0000 0.5000 0.0000 [9 per cell]
5 Pt 0.0024 0.5012 0.6601 [18 per cell]

Computed properties:
ΔE_f = -0.600 eV per atom

No. 13
VASP calculation (PBE-GGA) on a relaxed structure of LaTb2Pr3Tm6.

Lattice parameters (Å, degrees): 6.216 10.762 11.750 90.00 100.13 90.00
Space group C2/m (No. 12)
One atom of each set of equivalent atoms:
1 La 0.000 0.000 0.000 [2 per cell]
2 Tb 0.000 0.333 0.000 [4 per cell]
3 Pr 0.000 0.167 0.500 [4 per cell]
4 Pr 0.000 0.500 0.500 [2 per cell]
5 Tm 0.249 0.500 0.249 [4 per cell]
6 Tm 0.250 0.167 0.248 [8 per cell]

Computed properties:
ΔE_f = 0.021 eV per atom

No. 14
VASP calculation (PBE-GGA) on a relaxed structure of TlCo4Ir.

Lattice parameters (Å, degrees): 6.847 6.847 6.847 90.00 90.00 90.00
Space group F-43m (No. 216)
One atom of each set of equivalent atoms:
1 Tl 0.000 0.000 0.000 [4 per cell]
2 Co 0.125 0.125 0.625 [16 per cell]
3 Ir 0.250 0.250 0.250 [4 per cell]

Computed properties:
ΔE_f = 0.341 eV per atom

No. 15
VASP calculation (PBE-GGA) on a relaxed structure of DyScCu.

Lattice parameters (Å, degrees): 4.474 4.486 6.780 90.00 90.00 90.00
Space group Pmmn (No. 59, origin choice 2)
One atom of each set of equivalent atoms:
1 Dy 0.250 0.250 0.124 [2 per cell]
2 Sc 0.250 0.750 0.500 [2 per cell]
3 Cu 0.250 0.250 0.724 [2 per cell]

Computed properties:
relative energy among the computed polymorphs = 0.000 eV/atom
ΔE_f = -0.149 eV per atom

No. 16
VASP calculation (PBE-GGA) on a relaxed structure of Cs5MgGa6.

Lattice parameters (Å, degrees): 8.152 13.682 10.078 90.00 101.52 90.00
Space group C2/m (No. 12)
One atom of each set of equivalent atoms:
1 Cs 0.000 0.000 0.000 [2 per cell]
2 Cs 0.000 0.166 0.500 [4 per cell]
3 Cs 0.000 0.298 0.000 [4 per cell]
4 Mg 0.000 0.500 0.500 [2 per cell]
5 Ga 0.119 0.500 0.246 [4 per cell]
6 Ga 0.173 0.405 0.735 [8 per cell]

Computed properties:
ΔE_f = 0.132 eV per atom

No. 17
VASP calculation (PBE-GGA) on a relaxed structure of Li2SnPd.

Lattice parameters (Å, degrees): 3.944 3.944 4.286 90.00 90.00 90.00
Space group P4/mmm (No. 123)
One atom of each set of equivalent atoms:
1 Li 0.000 0.500 0.000 [2 per cell]
2 Sn 0.000 0.000 0.500 [1 per cell]
3 Pd 0.500 0.500 0.500 [1 per cell]

Computed properties:
ΔE_f = -0.483 eV per atom

No. 18
VASP calculation (PBE-GGA) on a relaxed structure of La6AlTl3.

Lattice parameters (Å, degrees): 9.869 5.473 12.123 90.00 105.74 90.00
Space group P2_1/m (No. 11)
One atom of each set of equivalent atoms:
1 La 0.029 0.250 0.409 [2 per cell]
2 La 0.163 0.750 0.176 [2 per cell]
3 La 0.270 0.250 0.001 [2 per cell]
4 La 0.356 0.750 0.826 [2 per cell]
5 La 0.382 0.250 0.351 [2 per cell]
6 La 0.406 0.250 0.619 [2 per cell]
7 Al 0.454 0.750 0.111 [2 per cell]
8 Tl 0.030 0.750 0.886 [2 per cell]
9 Tl 0.124 0.250 0.719 [2 per cell]
10 Tl 0.268 0.750 0.471 [2 per cell]

Computed properties:
ΔE_f = -0.329 eV per atom

No. 19
VASP calculation (PBE-GGA) on a relaxed structure of HfBeIr2.

Lattice parameters (Å, degrees): 6.176 6.176 6.176 90.00 90.00 90.00
Space group Fm-3m (No. 225)
One atom of each set of equivalent atoms:
1 Hf 0.000 0.000 0.000 [4 per cell]
2 Be 0.000 0.000 0.500 [4 per cell]
3 Ir 0.250 0.250 0.250 [8 per cell]

Computed properties:
ΔE_f = -0.714 eV per atom

No. 20
VASP calculation (PBE-GGA) on a relaxed structure of TlZn4Cd8.

Lattice parameters (Å, degrees): 9.848 9.848 5.707 90.00 90.00 90.00
Space group I4/mmm (No. 139)
One atom of each set of equivalent atoms:
1 Tl 0.000 0.000 0.000 [2 per cell]
2 Zn 0.250 0.250 0.250 [8 per cell]
3 Cd 0.000 0.218 0.500 [8 per cell]
4 Cd 0.000 0.345 0.000 [8 per cell]

Computed properties:
ΔE_f = 0.046 eV per atom

Number 1: size of the total moment 0.000 μB/atom. Number 2: size of the total moment 0.207 μB/atom. Number 3: size of the total moment 0.000 μB/atom. Number 4: size of the total moment 1.053 μB/atom. Number 5: size of the total moment 0.000 μB/atom. Number 6: size of the total moment 0.000 μB/atom. Number 7: size of the total moment 0.000 μB/atom. Number 8: size of the total moment 0.747 μB/atom. Number 9: size of the total moment 0.000 μB/atom. Number 10: size of the total moment 0.424 μB/atom. Number 11: size of the total moment 0.000 μB/atom. Number 12: size of the total moment 0.162 μB/atom. Number 13: size of the total moment 0.000 μB/atom. Number 14: size of the total moment 1.226 μB/atom. Number 15: size of the total moment 0.000 μB/atom. Number 16: size of the total moment 0.000 μB/atom. Number 17: size of the total moment 0.000 μB/atom. Number 18: size of the total moment 0.000 μB/atom. Number 19: size of the total moment 0.000 μB/atom. Number 20: size of the total moment 0.000 μB/atom.